No. 1
Density functional theory data (GGA-PBE) for an optimized crystal structure of Pm4TmRh5.

Geometry as CIF:
```
data_Pm4TmRh5
_cell_length_a 3.458
_cell_length_b 3.458
_cell_length_c 17.785
_cell_angle_alpha 90.00
_cell_angle_beta 90.00
_cell_angle_gamma 90.00
_space_group_name_H-M_alt 'P 4/m m m'
_space_group_IT_number 123
_space_group_name_Hall '-P 4 2'
loop_
_atom_site_label
_atom_site_fract_x
_atom_site_fract_y
_atom_site_fract_z
Pm1 0.000 0.000 0.102
Pm2 0.000 0.000 0.304
Tm1 0.000 0.000 0.500
Rh1 0.500 0.500 0.000
Rh2 0.500 0.500 0.203
Rh3 0.500 0.500 0.408
```

Results
**Formation enthalpy at 0 K**: -7.27 eV/f.u.

---

No. 2
Density functional theory data (GGA-PBE) for an optimized crystal structure of PmTm2Rh3.

Geometry as CIF:
```
data_PmTm2Rh3
_cell_length_a 4.8402
_cell_length_b 4.8402
_cell_length_c 5.9452
_cell_angle_alpha 90.00
_cell_angle_beta 90.00
_cell_angle_gamma 120.00
_space_group_name_H-M_alt 'P -3 m 1'
_space_group_IT_number 164
_space_group_name_Hall '-P 3 2"'
loop_
_atom_site_label
_atom_site_fract_x
_atom_site_fract_y
_atom_site_fract_z
Pm1 0.0000 0.0000 0.0000
Tm1 0.3333 0.6667 0.6624
Rh1 0.0000 0.0000 0.5000
Rh2 0.3333 0.6667 0.1763
```

Results
**Formation enthalpy at 0 K**: -5.17 eV/f.u.

---

No. 3
Density functional theory data (GGA-PBE) for an optimized crystal structure of Pm3TmRh3.

Geometry as CIF:
```
data_Pm3TmRh3
_cell_length_a 9.359
_cell_length_b 10.352
_cell_length_c 7.047
_cell_angle_alpha 90.00
_cell_angle_beta 90.50
_cell_angle_gamma 90.00
_space_group_name_H-M_alt 'C 1 2/m 1'
_space_group_IT_number 12
loop_
_space_group_symop_operation_xyz
'x,y,z'
'-x,-y,-z'
'-x,y,-z'
'x,-y,z'
'x+1/2,y+1/2,z'
'-x+1/2,-y+1/2,-z'
'-x+1/2,y+1/2,-z'
'x+1/2,-y+1/2,z'
loop_
_atom_site_label
_atom_site_fract_x
_atom_site_fract_y
_atom_site_fract_z
Pm1 0.000 0.181 0.000
Pm2 0.000 0.255 0.500
Pm3 0.172 0.500 0.884
Tm1 0.237 0.000 0.621
Rh1 0.061 0.000 0.303
Rh2 0.246 0.255 0.229
```

Results
**Formation enthalpy at 0 K**: -4.31 eV/f.u.

---

No. 4
Density functional theory data (GGA-PBE) for an optimized crystal structure of PmTmRh2.

Geometry as CIF:
```
data_PmTmRh2
_cell_length_a 3.394
_cell_length_b 3.394
_cell_length_c 7.120
_cell_angle_alpha 90.00
_cell_angle_beta 90.00
_cell_angle_gamma 90.00
_space_group_name_H-M_alt 'P 4/m m m'
_space_group_IT_number 123
_space_group_name_Hall '-P 4 2'
loop_
_atom_site_label
_atom_site_fract_x
_atom_site_fract_y
_atom_site_fract_z
Pm1 0.000 0.000 0.000
Tm1 0.000 0.000 0.500
Rh1 0.500 0.500 0.265
```

Results
**Formation enthalpy at 0 K**: -3.24 eV/f.u.

---

No. 5
Density functional theory data (GGA-PBE) for an optimized crystal structure of Pm3TmRh8.

Geometry as CIF:
```
data_Pm3TmRh8
_cell_length_a 5.3760
_cell_length_b 5.3760
_cell_length_c 26.3478
_cell_angle_alpha 90.00
_cell_angle_beta 90.00
_cell_angle_gamma 120.00
_space_group_name_H-M_alt 'R 3 m'
_space_group_IT_number 160
_space_group_name_Hall 'R 3 -2"'
loop_
_atom_site_label
_atom_site_fract_x
_atom_site_fract_y
_atom_site_fract_z
Pm1 0.0000 0.0000 0.0000
Pm2 0.0000 0.0000 0.1255
Pm3 0.0000 0.0000 0.6244
Tm1 0.0000 0.0000 0.4994
Rh1 0.0000 0.0000 0.3123
Rh2 0.0000 0.0000 0.8125
Rh3 0.9996 0.4998 0.5614
Rh4 0.0010 0.5005 0.0633
```

Results
**Formation enthalpy at 0 K**: -8.40 eV/f.u.

---

No. 6
Density functional theory data (GGA-PBE) for an optimized crystal structure of Pm2Tm3Rh2.

Geometry as CIF:
```
data_Pm2Tm3Rh2
_cell_length_a 12.140
_cell_length_b 3.752
_cell_length_c 8.965
_cell_angle_alpha 90.00
_cell_angle_beta 116.66
_cell_angle_gamma 90.00
_space_group_name_H-M_alt 'C 1 2/m 1'
_space_group_IT_number 12
loop_
_space_group_symop_operation_xyz
'x,y,z'
'-x,-y,-z'
'-x,y,-z'
'x,-y,z'
'x+1/2,y+1/2,z'
'-x+1/2,-y+1/2,-z'
'-x+1/2,y+1/2,-z'
'x+1/2,-y+1/2,z'
loop_
_atom_site_label
_atom_site_fract_x
_atom_site_fract_y
_atom_site_fract_z
Pm1 0.164 0.000 0.306
Tm1 0.000 0.500 0.500
Tm2 0.118 0.500 0.931
Rh1 0.171 0.000 0.742
```

Results
**Formation enthalpy at 0 K**: -4.10 eV/f.u.

---

| no. | density (g cm⁻³) | Fermi-level density of states (states/eV per atom) |
| --- | --- | --- |
| 1 | 9.87 | 0.794 |
| 2 | 10.90 | 0.696 |
| 3 | 8.88 | 0.646 |
| 4 | 10.52 | 0.588 |
| 5 | 10.78 | 0.571 |
| 6 | 9.12 | 1.031 |